[1]
VASP calculation (PBE-GGA) on a relaxed structure of Ac4BiSeS2.

VASP energy ... -0.418 Ry per atom
Energy relative to the elements, uncorrected ... -1684.8 meV per atom

a b c (Å): 7.7530 4.4876 7.8448
angles (deg): 90.00 109.31 90.00
Space group P2/m (No. 10)
Symmetry-distinct sites (fractional):
Ac 0.2328 0.0000 0.2224 x2
Ac 0.2496 0.5000 0.7704 x2
Bi 0.5000 0.5000 0.5000 x1
Se 0.0000 0.0000 0.5000 x1
S 0.0000 0.5000 0.0000 x1
S 0.5000 0.0000 0.0000 x1


[2]
VASP calculation (PBE-GGA) on a relaxed structure of Ni3W3C.

VASP energy ... -0.689 Ry per atom
Energy of formation ... -3.1 kJ per mole of atoms

a b c (Å): 11.0929 11.0929 11.0929
angles (deg): 90.00 90.00 90.00
Space group Fd-3m (No. 227, origin choice 2)
Symmetry-distinct sites (fractional):
Ni 0.0000 0.0000 0.0000 x16
Ni 0.0402 0.0402 0.2098 x32
W 0.0821 0.3750 0.8750 x48
C 0.0000 0.0000 0.5000 x16


| no. | D(E_F) (states/eV per cell) |
| --- | --- |
| 1 | 3.583 |
| 2 | 157.944 |